Here is a geometry-optimized Co3TcBr structure from Alexandria via LeMat-Bulk. Energies are from PBE.

a = 4.3070 Å, b = 4.3070 Å, c = 4.3070 Å
α = 90.00°, β = 90.00°, γ = 90.00°
With the nearest neighbours (Å) after each atom.
Space group Pm-3m (No. 221)
Symmetry-distinct sites (fractional):
Co 0.0000 0.0000 0.5000 [3 per cell]  2 Br 2.15
Tc 0.5000 0.5000 0.5000 [1 per cell]  12 Co 3.05
Br 0.0000 0.0000 0.0000 [1 per cell]  6 Co 2.15

Properties
The value obtained for the formation energy without anion corrections is 1432 meV/atom. Its density of states at the Fermi level is 8.11 states/eV/cell. The value obtained for the relative energy among the computed polymorphs is 0 meV/atom. The total energy comes out at -0.385 Ry/atom.